(1)
# PBE-GGA Pr2CdAs3Pt4, relaxed
data_Pr2CdAs3Pt4
_chemical_formula_sum 'Pr2 Cd1 As3 Pt4'
_space_group_name_H-M_alt 'P -4 m 2'
_space_group_IT_number 115
_cell_length_a 4.3405
_cell_length_b 4.3405
_cell_length_c 10.8335
_cell_angle_alpha 90.00
_cell_angle_beta 90.00
_cell_angle_gamma 90.00
loop_
_space_group_symop_operation_xyz
'x,y,z'
'y,-x,-z'
'-x,-y,z'
'-y,x,-z'
'-x,y,z'
'-y,-x,-z'
'x,-y,z'
'y,x,-z'
loop_
_atom_site_label
_atom_site_type_symbol
_atom_site_fract_x
_atom_site_fract_y
_atom_site_fract_z
_atom_site_occupancy
Pr1 Pr 0.0000 0.5000 0.2330 1
Cd1 Cd 0.0000 0.0000 0.5000 1
As1 As 0.0000 0.5000 0.8714 1
As2 As 0.5000 0.5000 0.5000 1
Pt1 Pt 0.0000 0.0000 0.0000 1
Pt2 Pt 0.0000 0.5000 0.6484 1
Pt3 Pt 0.5000 0.5000 0.0000 1
# calculated density: 11.38 g cm⁻³
# energy relative to the elements: -0.8039 eV per atom
# crystal system: tetragonal

---

(2)
# PBE-GGA Ti2TcRu, relaxed
data_Ti2TcRu
_chemical_formula_sum 'Ti8 Tc4 Ru4'
_space_group_name_H-M_alt 'I -4 2 d'
_space_group_IT_number 122
_space_group_name_Hall 'I -4 2bw'
_cell_length_a 6.8069
_cell_length_b 6.8069
_cell_length_c 5.4941
_cell_angle_alpha 90.00
_cell_angle_beta 90.00
_cell_angle_gamma 90.00
loop_
_atom_site_label
_atom_site_type_symbol
_atom_site_fract_x
_atom_site_fract_y
_atom_site_fract_z
_atom_site_occupancy
Ti1 Ti 0.2444 0.7500 0.1250 1
Tc1 Tc 0.0000 0.0000 0.5000 1
Ru1 Ru 0.0000 0.0000 0.0000 1
# calculated density: 7.69 g cm⁻³
# energy relative to the elements: 0.1042 eV per atom
# crystal system: tetragonal
# energy relative to the lowest polymorph listed for this composition: 751.7 meV per atom

---

(3)
# PBE-GGA UMnGe2S6, relaxed
data_UMnGe2S6
_chemical_formula_sum 'U1 Mn1 Ge2 S6'
_space_group_name_H-M_alt 'P 1'
_space_group_IT_number 1
_cell_length_a 6.6854
_cell_length_b 6.8057
_cell_length_c 6.9760
_cell_angle_alpha 91.07
_cell_angle_beta 117.84
_cell_angle_gamma 119.34
loop_
_space_group_symop_operation_xyz
'x,y,z'
loop_
_atom_site_label
_atom_site_type_symbol
_atom_site_fract_x
_atom_site_fract_y
_atom_site_fract_z
_atom_site_occupancy
U1 U 0.0000 0.0000 0.0000 1
Mn1 Mn 0.9978 0.4969 0.4915 1
Ge1 Ge 0.3221 0.6783 0.0747 1
Ge2 Ge 0.4104 0.2615 0.5829 1
S1 S 0.1064 0.7479 0.2505 1
S2 S 0.1520 0.8624 0.7849 1
S3 S 0.4985 0.6504 0.7306 1
S4 S 0.5096 0.3665 0.2881 1
S5 S 0.9223 0.1396 0.2898 1
S6 S 0.9243 0.2876 0.7819 1
# calculated density: 4.52 g cm⁻³
# formation energy without anion corrections: -14.1 kcal/mol of atoms
# crystal system: triclinic

---

(4)
# PBE-GGA PmNd2Dy2Tm, relaxed
data_PmNd2Dy2Tm
_chemical_formula_sum 'Pm2 Nd4 Dy4 Tm2'
_space_group_name_H-M_alt 'P m m a'
_space_group_IT_number 51
_cell_length_a 7.0459
_cell_length_b 5.6773
_cell_length_c 9.8345
_cell_angle_alpha 90.00
_cell_angle_beta 90.00
_cell_angle_gamma 90.00
loop_
_space_group_symop_operation_xyz
'x,y,z'
'-x,-y,-z'
'-x+1/2,-y,z'
'x+1/2,y,-z'
'x+1/2,-y,-z'
'-x+1/2,y,z'
'-x,y,-z'
'x,-y,z'
loop_
_atom_site_label
_atom_site_type_symbol
_atom_site_fract_x
_atom_site_fract_y
_atom_site_fract_z
_atom_site_occupancy
Pm1 Pm 0.2500 0.0000 0.1560 1
Nd1 Nd 0.0000 0.0000 0.5000 1
Nd2 Nd 0.2500 0.5000 0.6786 1
Dy1 Dy 0.2500 0.0000 0.8298 1
Dy2 Dy 0.2500 0.5000 0.3369 1
Tm1 Tm 0.0000 0.5000 0.0000 1
# calculated density: 7.83 g cm⁻³
# energy relative to the elements: 0.0617 eV per atom
# crystal system: orthorhombic

---

(5)
# PBE-GGA Cs2TlPtI6, relaxed
data_Cs2TlPtI6
_chemical_formula_sum 'Cs4 Tl2 Pt2 I12'
_space_group_name_H-M_alt 'I 4/m m m'
_space_group_IT_number 139
_space_group_name_Hall '-I 4 2'
_cell_length_a 8.5254
_cell_length_b 8.5254
_cell_length_c 12.0962
_cell_angle_alpha 90.00
_cell_angle_beta 90.00
_cell_angle_gamma 90.00
loop_
_atom_site_label
_atom_site_type_symbol
_atom_site_fract_x
_atom_site_fract_y
_atom_site_fract_z
_atom_site_occupancy
Cs1 Cs 0.0000 0.5000 0.2500 1
Tl1 Tl 0.0000 0.0000 0.0000 1
Pt1 Pt 0.0000 0.0000 0.5000 1
I1 I 0.0000 0.0000 0.2701 1
I2 I 0.2295 0.2295 0.5000 1
# calculated density: 5.39 g cm⁻³
# formation energy without anion corrections: -18.0 kcal/mol of atoms
# crystal system: tetragonal
# energy relative to the lowest polymorph listed for this composition: 0.0 meV per atom

---

Number 1 is which compound?
Pr2CdAs3Pt4